Record 1
Here is MnAlRh3 after structural relaxation from Alexandria. Energies are from PBEsol.

The structure in POSCAR format:
```
MnAlRh3
1.0
4.3460 0.0000 0.0000
0.0000 4.3460 0.0000
0.0000 0.0000 4.3460
Mn Rh Al
1 3 1
Cartesian
0.0000 0.0000 0.0000 Mn
0.0000 2.1730 0.0000 Rh
0.0000 0.0000 2.1730 Rh
2.1730 0.0000 0.0000 Rh
2.1730 2.1730 2.1730 Al
```

Magnetization   0.0 μB per cell
Symmetry   Pm-3m
D(E_F)   3.91 states/eV/f.u.
ΔH_f (0 K)   0.825 eV/atom

=====

Record 2
Here is MnAlRh2 after structural relaxation from Alexandria. Energies are from PBEsol.

The structure in POSCAR format:
```
MnAlRh2
1.0
2.9949 0.0000 0.0000
0.0000 4.1920 0.0000
0.0000 0.0000 4.1920
Mn Rh Al
1 2 1
Cartesian
1.4975 0.0000 0.0000 Mn
0.0000 0.0000 2.0960 Rh
0.0000 2.0960 0.0000 Rh
1.4975 2.0960 2.0960 Al
```

Magnetization   4.1 μB per cell
Symmetry   P4/mmm
D(E_F)   1.89 states/eV/f.u.
ΔH_f (0 K)   -0.611 eV/atom

=====

Record 3
Here is MnAlRh after structural relaxation from Alexandria. Energies are from PBEsol.

The structure in POSCAR format:
```
MnAlRh
1.0
2.7482 0.0000 0.0000
0.0000 2.7482 0.0000
-1.3741 -1.3741 5.0155
Mn Rh Al
1 1 1
Cartesian
1.3741 1.3741 1.6768 Mn
0.0000 0.0000 3.3264 Rh
0.0000 0.0000 0.0123 Al
```

Magnetization   1.6 μB per cell
Symmetry   I4mm
D(E_F)   2.84 states/eV/f.u.
ΔH_f (0 K)   -0.366 eV/atom

=====

Record 4
Here is MnAlRh2 after structural relaxation from Alexandria. Energies are from PBEsol.

The structure in POSCAR format:
```
MnAlRh2
1.0
-0.0137 2.5768 1.0171
-2.8939 -0.8809 2.1925
3.2720 -1.4563 3.7335
Mn Rh Al
1 2 1
Cartesian
1.0699 -0.2753 4.4846 Mn
3.1738 -1.4126 3.6216 Rh
-0.5446 0.4433 2.6423 Rh
1.5731 -0.7001 1.7950 Al
```

Magnetization   3.3 μB per cell
Symmetry   Pmm2
D(E_F)   3.48 states/eV/f.u.
ΔH_f (0 K)   -0.355 eV/atom

=====

Record 5
Here is MnAlRh2 after structural relaxation from Alexandria. Energies are from PBEsol.

The structure in POSCAR format:
```
MnAlRh2
1.0
2.7739 0.0000 0.0000
1.3869 2.4023 0.0000
1.3869 0.8008 8.1184
Mn Rh Al
1 2 1
Cartesian
0.0000 0.0000 0.0000 Mn
1.3869 0.8008 2.0768 Rh
4.1608 2.4023 6.0416 Rh
2.7739 1.6015 4.0592 Al
```

Magnetization   3.8 μB per cell
Symmetry   R-3m
D(E_F)   3.37 states/eV/f.u.
ΔH_f (0 K)   -0.290 eV/atom

=====

Record 6
Here is Mn4AlRh after structural relaxation from Alexandria. Energies are from PBEsol.

The structure in POSCAR format:
```
Mn4AlRh
1.0
4.6168 0.0000 0.0000
2.3084 3.9982 0.0000
2.3084 1.3327 3.7696
Al Mn Rh
1 4 1
Cartesian
0.0000 0.0000 0.0000 Al
3.4543 1.9944 1.4102 Mn
4.6168 2.6655 3.3084 Mn
5.7792 1.9944 1.4102 Mn
4.6168 4.0077 1.4102 Mn
6.9251 3.9982 2.8272 Rh
```

Magnetization   1.5 μB per cell
Symmetry   F-43m
D(E_F)   9.12 states/eV/f.u.
ΔH_f (0 K)   0.000 eV/atom

=====

Record 7
Here is MnAlRh after structural relaxation from Alexandria. Energies are from PBEsol.

The structure in POSCAR format:
```
MnAlRh
1.0
-1.1434 -2.0824 1.3885
1.2248 -2.6322 -2.9390
2.4641 0.7937 3.2194
Mn Rh Al
1 1 1
Cartesian
0.8854 -2.8606 0.0275 Mn
1.6917 -1.0026 1.6029 Rh
-0.0317 -0.0577 0.0385 Al
```

Magnetization   3.7 μB per cell
Symmetry   P3m1
D(E_F)   2.13 states/eV/f.u.
ΔH_f (0 K)   -0.291 eV/atom

=====

Record 8
Here is MnAl2Ru after structural relaxation from Alexandria. Energies are from PBEsol.

The structure in POSCAR format:
```
MnAl2Ru
1.0
3.6859 0.0000 0.0000
0.0000 3.6859 0.0000
-1.8430 -1.8430 3.9202
Ru Mn Al
1 1 2
Cartesian
0.0000 1.8430 1.9601 Ru
1.8430 1.8430 0.0000 Mn
0.0000 0.0000 0.0000 Al
1.8430 0.0000 1.9601 Al
```

Magnetization   2.8 μB per cell
Symmetry   I-4m2
D(E_F)   3.52 states/eV/f.u.
ΔH_f (0 K)   -0.259 eV/atom

=====

Record 9
Here is MnAl2Ru after structural relaxation from Alexandria. Energies are from PBEsol.

The structure in POSCAR format:
```
MnAl2Ru
1.0
-1.6851 2.1619 -1.2898
-1.1145 -2.6454 -2.9781
-3.2517 -1.1821 2.2669
Ru Mn Al
1 1 2
Cartesian
-0.8426 1.0810 -0.6449 Ru
-3.0256 -0.8328 -1.0005 Mn
-1.6258 -0.5910 1.1335 Al
-0.5572 -1.3227 -1.4890 Al
```

Magnetization   2.5 μB per cell
Symmetry   P4/mmm
D(E_F)   2.71 states/eV/f.u.
ΔH_f (0 K)   -0.414 eV/atom

=====

Record 10
Here is MnAl2S after structural relaxation from Alexandria. Energies are from PBEsol.

The structure in POSCAR format:
```
MnAl2S
1.0
-3.9665 3.4107 -1.2489
-3.9542 1.0219 3.7688
0.6440 5.4031 1.1295
S Mn Al
2 2 4
Cartesian
-1.9833 1.7053 -0.6245 S
-2.6467 4.0652 2.1369 S
0.0000 0.0000 0.0000 Mn
-4.6300 5.7705 1.5125 Mn
-6.9935 6.8120 3.1779 Al
-1.2748 3.8763 0.1592 Al
-4.4406 2.7143 1.2501 Al
-1.8445 6.2686 2.7115 Al
```

Raw formation energy   84 meV/atom
Magnetization   6.8 μB per cell
Symmetry   I-42d
D(E_F)   2.55 states/eV/f.u.

=====

Record 11
Here is Sm3MnAlS7 after structural relaxation from Alexandria. Energies are from PBEsol.

The structure in POSCAR format:
```
Sm3MnAlS7
1.0
6.0751 0.0000 0.0000
0.0000 9.7114 0.0000
0.0000 -4.8557 8.4103
Sm Mn Al S
6 2 2 14
Cartesian
1.6015 1.9302 7.1303 Sm
4.6390 2.9255 1.2800 Sm
1.6015 0.3542 3.1735 Sm
1.6015 -2.2844 6.5168 Sm
4.6390 7.1401 1.8935 Sm
4.6390 4.5015 5.2368 Sm
2.8307 0.0000 0.0000 Mn
5.8682 0.0000 0.0000 Mn
5.1149 0.0000 5.6069 Al
2.0773 4.8557 2.8034 Al
2.8921 0.0000 5.6069 S
5.9296 4.8557 2.8034 S
4.2198 2.9916 7.5649 S
1.1822 1.8641 0.8454 S
4.2198 0.1999 2.0370 S
4.2198 -3.1915 7.2186 S
1.1822 8.0472 1.1916 S
1.1822 4.6558 6.3733 S
6.0292 1.8905 4.7990 S
2.9916 2.9652 3.6113 S
6.0292 -1.6449 4.3736 S
6.0292 -0.2456 7.6480 S
2.9916 5.1013 0.7623 S
2.9916 6.5005 4.0367 S
```

Raw formation energy   -1646 meV/atom
Magnetization   10.0 μB per cell
Symmetry   P6_3
D(E_F)   1.25 states/eV/f.u.

=====

Record 12
Here is MnAlSb2 after structural relaxation from Alexandria. Energies are from PBEsol.

The structure in POSCAR format:
```
MnAlSb2
1.0
-3.4060 1.4030 -0.2119
0.2139 -2.0501 -4.4590
-0.9614 -3.7782 2.9887
Sb Mn Al
2 1 1
Cartesian
0.1069 -1.0250 -2.2295 Sb
-0.4807 -1.8891 1.4943 Sb
-1.7030 0.7015 -0.1060 Mn
-2.0767 -2.2126 -0.8411 Al
```

Raw formation energy   314 meV/atom
Magnetization   3.6 μB per cell
Symmetry   C2/m
D(E_F)   2.52 states/eV/f.u.

=====

Record 13
Here is MnAlSb2 after structural relaxation from Alexandria. Energies are from PBEsol.

The structure in POSCAR format:
```
MnAlSb2
1.0
3.7027 0.0000 0.0000
0.0000 4.4269 0.0000
0.0000 0.0000 5.0218
Sb Mn Al
2 1 1
Cartesian
0.0000 0.0000 0.0000 Sb
0.0000 2.2134 2.5109 Sb
1.8514 0.0000 2.5109 Mn
1.8514 2.2134 0.0000 Al
```

Raw formation energy   331 meV/atom
Magnetization   3.8 μB per cell
Symmetry   Pmmm
D(E_F)   2.38 states/eV/f.u.

=====

Record 14
Here is MnAlSb2Te after structural relaxation from Alexandria. Energies are from PBEsol.

The structure in POSCAR format:
```
MnAlSb2Te
1.0
5.1686 0.0000 0.0000
0.0000 5.1686 0.0000
0.0000 0.0000 5.2823
Sb Te Al Mn
2 1 1 1
Cartesian
0.0000 2.5843 0.0000 Sb
2.5843 0.0000 0.0000 Sb
0.0000 0.0000 2.6411 Te
0.0000 0.0000 0.0000 Al
2.5843 2.5843 2.6411 Mn
```

Raw formation energy   837 meV/atom
Magnetization   4.5 μB per cell
Symmetry   P4/mmm
D(E_F)   4.45 states/eV/f.u.

=====

Record 15
Here is ScMnAl after structural relaxation from Alexandria. Energies are from PBEsol.

The structure in POSCAR format:
```
ScMnAl
1.0
4.4796 0.0000 0.0000
2.2398 3.8794 0.0000
2.2398 1.2931 3.6575
Sc Mn Al
1 1 1
Cartesian
6.7193 3.8794 2.7432 Sc
4.4796 2.5863 1.8288 Mn
0.0000 0.0000 0.0000 Al
```

Magnetization   3.6 μB per cell
Symmetry   F-43m
D(E_F)   3.34 states/eV/f.u.
ΔH_f (0 K)   0.776 eV/atom

=====

Record 16
Here is ScMn4Al8 after structural relaxation from Alexandria. Energies are from PBEsol.

The structure in POSCAR format:
```
ScMn4Al8
1.0
4.8619 0.0000 0.0000
2.4309 6.0969 0.0000
2.4309 0.0000 6.0969
Sc Mn Al
1 4 8
Cartesian
0.0000 0.0000 0.0000 Sc
3.6464 3.0484 0.0000 Mn
1.2155 3.0484 0.0000 Mn
1.2155 0.0000 3.0484 Mn
3.6464 0.0000 3.0484 Mn
4.8619 2.0578 2.0578 Al
4.8619 4.0391 4.0391 Al
2.4309 2.0578 4.0391 Al
2.4309 4.0391 2.0578 Al
7.2928 4.7857 4.7857 Al
2.4309 1.3112 1.3112 Al
4.8619 4.7857 1.3112 Al
4.8619 1.3112 4.7857 Al
```

Magnetization   0.0 μB per cell
Symmetry   I4/mmm
D(E_F)   7.78 states/eV/f.u.
ΔH_f (0 K)   -0.322 eV/atom

=====

Record 17
Here is ScMn3Al after structural relaxation from Alexandria. Energies are from PBEsol.

The structure in POSCAR format:
```
ScMn3Al
1.0
4.4581 0.0000 0.0000
0.0000 4.4581 0.0000
0.0000 0.0000 4.4581
Sc Mn Al
1 3 1
Cartesian
0.0000 0.0000 0.0000 Sc
0.0000 2.2290 0.0000 Mn
0.0000 0.0000 2.2290 Mn
2.2290 0.0000 0.0000 Mn
2.2290 2.2290 2.2290 Al
```

Magnetization   8.7 μB per cell
Symmetry   Pm-3m
D(E_F)   5.17 states/eV/f.u.
ΔH_f (0 K)   1.431 eV/atom

=====

Record 18
Here is ScMnAl2 after structural relaxation from Alexandria. Energies are from PBEsol.

The structure in POSCAR format:
```
ScMnAl2
1.0
-1.1220 2.6760 0.9648
-2.0146 -1.4797 1.7614
4.4113 0.0235 5.0650
Sc Mn Al
1 1 2
Cartesian
1.6065 0.6150 5.0083 Sc
2.0508 0.0109 2.3547 Mn
0.1352 0.0007 0.1552 Al
-0.3120 0.6048 2.8055 Al
```

Magnetization   1.5 μB per cell
Symmetry   P4mm
D(E_F)   2.96 states/eV/f.u.
ΔH_f (0 K)   -0.149 eV/atom

=====

Record 19
Here is ScMn2Al2 after structural relaxation from Alexandria. Energies are from PBEsol.

The structure in POSCAR format:
```
ScMn2Al2
1.0
3.9486 0.0000 0.0000
0.0000 3.9486 0.0000
-1.9743 -1.9743 4.9802
Sc Mn Al
1 2 2
Cartesian
0.0000 0.0000 0.0000 Sc
0.0000 0.0000 4.0072 Mn
1.9743 1.9743 0.9730 Mn
0.0000 1.9743 2.4901 Al
1.9743 0.0000 2.4901 Al
```

Magnetization   2.5 μB per cell
Symmetry   I4/mmm
D(E_F)   3.88 states/eV/f.u.
ΔH_f (0 K)   -0.013 eV/atom

=====

Record 20
Here is ScMn2AlSe after structural relaxation from Alexandria. Energies are from PBEsol.

The structure in POSCAR format:
```
ScMn2AlSe
1.0
-3.4323 0.1075 -2.9443
1.7190 -3.5982 -2.1352
-2.5869 -2.9612 2.9075
Sc Mn Al Se
1 2 1 1
Cartesian
-2.1501 -3.2260 -1.0860 Sc
0.8595 -1.7991 -1.0676 Mn
-1.7161 0.0537 -1.4722 Mn
0.0000 0.0000 0.0000 Al
-1.2934 -1.4806 1.4537 Se
```

Raw formation energy   692 meV/atom
Magnetization   6.1 μB per cell
Symmetry   P4/mmm
D(E_F)   6.48 states/eV/f.u.